# Ga2ReCl, relaxed, DFT PBE
data_Ga2ReCl
_cell_length_a 6.0579
_cell_length_b 6.0579
_cell_length_c 11.5003
_cell_angle_alpha 90.00
_cell_angle_beta 90.00
_cell_angle_gamma 90.00
_symmetry_space_group_name_H-M 'I -4 2 d'
_symmetry_Int_Tables_number 122
_symmetry_space_group_name_Hall 'I -4 2bw'
loop_
_atom_site_label
_atom_site_fract_x
_atom_site_fract_y
_atom_site_fract_z
_atom_site_occupancy
Ga1 0.2093 0.2500 0.1250 1
Re1 0.0000 0.0000 0.0000 1
Cl1 0.0000 0.0000 0.5000 1
# Fermi-level density of states, states/eV/cell: 11.62
# Energy relative to the elements, uncorrected, eV/atom: 0.7320


# GaRe2Cl, relaxed, DFT PBE
data_GaRe2Cl
_cell_length_a 6.1726
_cell_length_b 6.1726
_cell_length_c 6.1726
_cell_angle_alpha 90.00
_cell_angle_beta 90.00
_cell_angle_gamma 90.00
_symmetry_space_group_name_H-M 'F m -3 m'
_symmetry_Int_Tables_number 225
_symmetry_space_group_name_Hall '-F 4 2 3'
loop_
_atom_site_label
_atom_site_fract_x
_atom_site_fract_y
_atom_site_fract_z
_atom_site_occupancy
Ga1 0.0000 0.0000 0.0000 1
Re1 0.2500 0.2500 0.2500 1
Cl1 0.0000 0.0000 0.5000 1
# Fermi-level density of states, states/eV/cell: 15.84
# Energy relative to the elements, uncorrected, eV/atom: 1.0498


Quick rundown of final energy, same order as above: -69.682, -102.282 eV per cell